# CuAgAu4, relaxed, DFT PBE
data_CuAgAu4
_chemical_formula_sum 'Cu1 Ag1 Au4'
_cell_length_a 5.4652
_cell_length_b 5.4652
_cell_length_c 5.4652
_cell_angle_alpha 60.00
_cell_angle_beta 60.00
_cell_angle_gamma 60.00
_space_group_name_H-M_alt 'P 1'
_space_group_IT_number 1
loop_
_space_group_symop_operation_xyz
'x,y,z'
loop_
_atom_site_label
_atom_site_type_symbol
_atom_site_fract_x
_atom_site_fract_y
_atom_site_fract_z
Cu1 Cu 0.7500 0.7500 0.7500
Ag1 Ag 0.0000 0.0000 0.0000
Au1 Au 0.8746 0.3751 0.3751
Au2 Au 0.3751 0.3751 0.8746
Au3 Au 0.3751 0.8746 0.3751
Au4 Au 0.3751 0.3751 0.3751
# **Total moment**: 0.00 Bohr magnetons per cell
# **Formation energy**: 182 meV per atom
# **Space group**: F-43m, No. 216

---

# Cu10AgAu6, relaxed, DFT PBE
data_Cu10AgAu6
_chemical_formula_sum 'Cu10 Ag1 Au6'
_cell_length_a 5.2495
_cell_length_b 7.5430
_cell_length_c 7.5430
_cell_angle_alpha 120.00
_cell_angle_beta 90.00
_cell_angle_gamma 90.00
_space_group_name_H-M_alt 'P 1'
_space_group_IT_number 1
loop_
_space_group_symop_operation_xyz
'x,y,z'
loop_
_atom_site_label
_atom_site_type_symbol
_atom_site_fract_x
_atom_site_fract_y
_atom_site_fract_z
Cu1 Cu 0.8320 0.6849 0.6849
Cu2 Cu 0.8320 0.0000 0.3151
Cu3 Cu 0.8320 0.3151 0.0000
Cu4 Cu 0.1680 0.3151 0.3151
Cu5 Cu 0.1680 0.0000 0.6849
Cu6 Cu 0.1680 0.6849 0.0000
Cu7 Cu 0.5000 0.3333 0.6667
Cu8 Cu 0.5000 0.6667 0.3333
Cu9 Cu 0.0000 0.6667 0.3333
Cu10 Cu 0.0000 0.3333 0.6667
Ag1 Ag 0.5000 0.0000 0.0000
Au1 Au 0.6834 0.3497 0.3497
Au2 Au 0.6834 0.0000 0.6503
Au3 Au 0.6834 0.6503 0.0000
Au4 Au 0.3166 0.6503 0.6503
Au5 Au 0.3166 0.0000 0.3497
Au6 Au 0.3166 0.3497 0.0000
# **Total moment**: 0.00 Bohr magnetons per cell
# **Formation energy**: 56 meV per atom
# **Space group**: P-31m, No. 162

---

# Cu2Ag2Au, relaxed, DFT PBE
data_Cu2Ag2Au
_chemical_formula_sum 'Cu4 Ag4 Au2'
_cell_length_a 6.7050
_cell_length_b 6.7050
_cell_length_c 3.6198
_cell_angle_alpha 90.00
_cell_angle_beta 90.00
_cell_angle_gamma 90.00
_space_group_name_H-M_alt 'P 1'
_space_group_IT_number 1
loop_
_space_group_symop_operation_xyz
'x,y,z'
loop_
_atom_site_label
_atom_site_type_symbol
_atom_site_fract_x
_atom_site_fract_y
_atom_site_fract_z
Au1 Au 0.0000 0.0000 0.0000
Au2 Au 0.5000 0.5000 0.0000
Cu1 Cu 0.3709 0.8709 0.0000
Cu2 Cu 0.8709 0.6291 0.0000
Cu3 Cu 0.6291 0.1291 0.0000
Cu4 Cu 0.1291 0.3709 0.0000
Ag1 Ag 0.1669 0.6669 0.5000
Ag2 Ag 0.6669 0.8331 0.5000
Ag3 Ag 0.8331 0.3331 0.5000
Ag4 Ag 0.3331 0.1669 0.5000
# **Total moment**: 0.00 Bohr magnetons per cell
# **Formation energy**: 114 meV per atom
# **Space group**: P4/mbm, No. 127

---

# CuAg2Au, relaxed, DFT PBE
data_CuAg2Au
_chemical_formula_sum 'Cu1 Ag2 Au1'
_cell_length_a 4.9752
_cell_length_b 4.9752
_cell_length_c 4.8604
_cell_angle_alpha 78.54
_cell_angle_beta 78.54
_cell_angle_gamma 34.39
_space_group_name_H-M_alt 'P 1'
_space_group_IT_number 1
loop_
_space_group_symop_operation_xyz
'x,y,z'
loop_
_atom_site_label
_atom_site_type_symbol
_atom_site_fract_x
_atom_site_fract_y
_atom_site_fract_z
Au1 Au 0.2500 0.2500 0.2500
Cu1 Cu 0.7500 0.7500 0.7500
Ag1 Ag 0.0069 0.0069 0.9916
Ag2 Ag 0.4931 0.4931 0.5084
# **Total moment**: 0.00 Bohr magnetons per cell
# **Formation energy**: 31 meV per atom
# **Space group**: C2/m, No. 12